(1)
{"formula": "Fe2OsN", "functional": "PBE-GGA", "state": "optimized geometry", "lattice": [[-2.449, 2.449, 4.247], [2.449, -2.449, 4.247], [2.449, 2.449, -4.247]], "species": ["Fe", "Fe", "Fe", "Fe", "Os", "Os", "N", "N"], "frac_coords": [[0.043, 0.625, 0.918], [0.375, 0.293, 0.418], [0.707, 0.125, 0.082], [0.875, 0.957, 0.582], [0.250, 0.750, 0.500], [0.500, 0.500, 0.000], [0.000, 0.000, 0.000], [0.750, 0.250, 0.500]], "sg": "I-42d, No. 122", "magmom_total_mub_per_atom": 0.000, "dft_energy_ev_per_atom": -8.56}

***

(2)
{"formula": "FeOs3N", "functional": "PBE-GGA", "state": "optimized geometry", "lattice": [[4.380, 0.000, 0.000], [0.000, 4.380, 0.000], [0.000, 0.000, 4.380]], "species": ["Fe", "Os", "Os", "Os", "N"], "frac_coords": [[0.000, 0.000, 0.000], [0.000, 0.000, 0.500], [0.000, 0.500, 0.000], [0.500, 0.000, 0.000], [0.500, 0.500, 0.500]], "sg": "Pm-3m, No. 221", "magmom_total_mub_per_atom": 0.202, "dft_energy_ev_per_atom": -7.06}

***

(3)
{"formula": "Fe2OsN", "functional": "PBE-GGA", "state": "optimized geometry", "lattice": [[1.377, 0.795, 6.777], [-1.377, 0.795, 6.777], [0.000, -1.590, 6.777]], "species": ["Fe", "Fe", "Os", "N"], "frac_coords": [[0.115, 0.115, 0.115], [0.885, 0.885, 0.885], [0.000, 0.000, 0.000], [0.500, 0.500, 0.500]], "sg": "R-3m, No. 166", "magmom_total_mub_per_atom": 0.000, "dft_energy_ev_per_atom": -8.65}

***

(4)
{"formula": "FeOs2N", "functional": "PBE-GGA", "state": "optimized geometry", "lattice": [[-2.492, 2.492, 4.689], [2.492, -2.492, 4.689], [2.492, 2.492, -4.689]], "species": ["Fe", "Fe", "Os", "Os", "Os", "Os", "N", "N"], "frac_coords": [[0.000, 0.000, 0.000], [0.750, 0.250, 0.500], [0.181, 0.625, 0.056], [0.375, 0.431, 0.556], [0.569, 0.125, 0.944], [0.875, 0.819, 0.444], [0.250, 0.750, 0.500], [0.500, 0.500, 0.000]], "sg": "I-42d, No. 122", "magmom_total_mub_per_atom": 0.280, "dft_energy_ev_per_atom": -8.94}

***

(5)
{"formula": "FeOs3N", "functional": "PBE-GGA", "state": "optimized geometry", "lattice": [[3.985, 0.000, 0.000], [0.000, 3.985, 0.000], [0.000, 0.000, 3.985]], "species": ["Fe", "Os", "Os", "Os", "N"], "frac_coords": [[0.000, 0.000, 0.000], [0.000, 0.500, 0.500], [0.500, 0.000, 0.500], [0.500, 0.500, 0.000], [0.500, 0.500, 0.500]], "sg": "Pm-3m, No. 221", "magmom_total_mub_per_atom": 0.000, "dft_energy_ev_per_atom": -9.33}

***

(6)
{"formula": "FeOsS2N", "functional": "PBE-GGA", "state": "optimized geometry", "lattice": [[4.529, 0.000, 0.000], [0.000, 4.529, 0.000], [0.000, 0.000, 3.299]], "species": ["Fe", "Os", "S", "S", "N"], "frac_coords": [[0.000, 0.000, 0.000], [0.500, 0.500, 0.500], [0.000, 0.500, 0.000], [0.500, 0.000, 0.000], [0.000, 0.000, 0.500]], "sg": "P4/mmm, No. 123", "magmom_total_mub_per_atom": 0.001, "dft_energy_ev_per_atom": -6.32}

***

(7)
{"formula": "FeOsS2N", "functional": "PBE-GGA", "state": "optimized geometry", "lattice": [[4.813, 0.000, 0.000], [0.000, 4.813, 0.000], [0.000, 0.000, 3.658]], "species": ["Fe", "Os", "S", "S", "N"], "frac_coords": [[0.000, 0.000, 0.000], [0.500, 0.500, 0.500], [0.000, 0.500, 0.500], [0.500, 0.000, 0.500], [0.500, 0.500, 0.000]], "sg": "P4/mmm, No. 123", "magmom_total_mub_per_atom": 0.711, "dft_energy_ev_per_atom": -6.53}

***

(8)
{"formula": "FeOsSN2", "functional": "PBE-GGA", "state": "optimized geometry", "lattice": [[3.536, 0.000, 0.000], [0.000, 3.536, 0.000], [0.000, 0.000, 4.796]], "species": ["Fe", "Os", "S", "N", "N"], "frac_coords": [[0.000, 0.000, 0.000], [0.500, 0.500, 0.500], [0.000, 0.000, 0.500], [0.000, 0.500, 0.000], [0.500, 0.000, 0.000]], "sg": "P4/mmm, No. 123", "magmom_total_mub_per_atom": 0.124, "dft_energy_ev_per_atom": -6.72}

***

(9)
{"formula": "FeOsSN2", "functional": "PBE-GGA", "state": "optimized geometry", "lattice": [[3.747, 0.000, 0.000], [0.000, 3.747, 0.000], [0.000, 0.000, 5.237]], "species": ["Fe", "Os", "S", "N", "N"], "frac_coords": [[0.000, 0.000, 0.000], [0.500, 0.500, 0.500], [0.500, 0.500, 0.000], [0.000, 0.500, 0.500], [0.500, 0.000, 0.500]], "sg": "P4/mmm, No. 123", "magmom_total_mub_per_atom": 0.781, "dft_energy_ev_per_atom": -7.29}

***

(10)
{"formula": "FeOsSeN2", "functional": "PBE-GGA", "state": "optimized geometry", "lattice": [[3.519, 0.000, 0.000], [0.000, 3.519, 0.000], [0.000, 0.000, 5.936]], "species": ["Fe", "Os", "Se", "N", "N"], "frac_coords": [[0.000, 0.000, 0.000], [0.500, 0.500, 0.500], [0.000, 0.000, 0.500], [0.000, 0.500, 0.000], [0.500, 0.000, 0.000]], "sg": "P4/mmm, No. 123", "magmom_total_mub_per_atom": 0.291, "dft_energy_ev_per_atom": -6.57}

***

(11)
{"formula": "FeOsSeN2", "functional": "PBE-GGA", "state": "optimized geometry", "lattice": [[3.762, 0.000, 0.000], [0.000, 3.762, 0.000], [0.000, 0.000, 5.548]], "species": ["Fe", "Os", "Se", "N", "N"], "frac_coords": [[0.000, 0.000, 0.000], [0.500, 0.500, 0.500], [0.500, 0.500, 0.000], [0.000, 0.500, 0.500], [0.500, 0.000, 0.500]], "sg": "P4/mmm, No. 123", "magmom_total_mub_per_atom": 0.767, "dft_energy_ev_per_atom": -7.18}

***

(12)
{"formula": "FeSiOsN2", "functional": "PBE-GGA", "state": "optimized geometry", "lattice": [[3.442, 0.000, 0.000], [0.000, 3.442, 0.000], [0.000, 0.000, 4.927]], "species": ["Fe", "Si", "Os", "N", "N"], "frac_coords": [[0.000, 0.000, 0.000], [0.000, 0.000, 0.500], [0.500, 0.500, 0.000], [0.000, 0.500, 0.500], [0.500, 0.000, 0.500]], "sg": "P4/mmm, No. 123", "magmom_total_mub_per_atom": 0.021, "dft_energy_ev_per_atom": -6.90}

***

(13)
{"formula": "FePN", "functional": "PBE-GGA", "state": "optimized geometry", "lattice": [[5.134, 0.000, 0.000], [0.000, 5.151, 0.000], [-2.332, 0.000, 4.560]], "species": ["Fe", "Fe", "Fe", "Fe", "P", "P", "P", "P", "N", "N", "N", "N"], "frac_coords": [[0.231, 0.011, 0.238], [0.231, 0.489, 0.738], [0.769, 0.511, 0.262], [0.769, 0.989, 0.762], [0.315, 0.611, 0.184], [0.315, 0.889, 0.684], [0.685, 0.111, 0.316], [0.685, 0.389, 0.816], [0.166, 0.110, 0.829], [0.166, 0.390, 0.329], [0.834, 0.610, 0.671], [0.834, 0.890, 0.171]], "sg": "P2_1/c, No. 14", "magmom_total_mub_per_atom": 0.000, "dft_energy_ev_per_atom": -7.48}

***

(14)
{"formula": "Fe2PN", "functional": "PBE-GGA", "state": "optimized geometry", "lattice": [[-2.323, 2.323, 4.435], [2.323, -2.323, 4.435], [2.323, 2.323, -4.435]], "species": ["Fe", "Fe", "Fe", "Fe", "P", "P", "N", "N"], "frac_coords": [[0.058, 0.625, 0.933], [0.375, 0.308, 0.433], [0.692, 0.125, 0.067], [0.875, 0.942, 0.567], [0.250, 0.750, 0.500], [0.500, 0.500, 0.000], [0.000, 0.000, 0.000], [0.750, 0.250, 0.500]], "sg": "I-42d, No. 122", "magmom_total_mub_per_atom": 0.000, "dft_energy_ev_per_atom": -7.80}

***

(15)
{"formula": "FePN3", "functional": "PBE-GGA", "state": "optimized geometry", "lattice": [[3.651, 0.000, 0.000], [0.000, 3.651, 0.000], [0.000, 0.000, 3.651]], "species": ["Fe", "P", "N", "N", "N"], "frac_coords": [[0.000, 0.000, 0.000], [0.500, 0.500, 0.500], [0.000, 0.000, 0.500], [0.000, 0.500, 0.000], [0.500, 0.000, 0.000]], "sg": "Pm-3m, No. 221", "magmom_total_mub_per_atom": 0.059, "dft_energy_ev_per_atom": -6.17}

***

(16)
{"formula": "Fe2PN", "functional": "PBE-GGA", "state": "optimized geometry", "lattice": [[0.000, 2.666, 2.666], [2.666, 0.000, 2.666], [2.666, 2.666, 0.000]], "species": ["Fe", "Fe", "P", "N"], "frac_coords": [[0.250, 0.250, 0.250], [0.750, 0.750, 0.750], [0.000, 0.000, 0.000], [0.500, 0.500, 0.500]], "sg": "Fm-3m, No. 225", "magmom_total_mub_per_atom": 0.000, "dft_energy_ev_per_atom": -7.20}

***

(17)
{"formula": "FePN2", "functional": "PBE-GGA", "state": "optimized geometry", "lattice": [[1.400, 0.808, 5.589], [-1.400, 0.808, 5.589], [0.000, -1.617, 5.589]], "species": ["Fe", "P", "N", "N"], "frac_coords": [[0.000, 0.000, 0.000], [0.500, 0.500, 0.500], [0.398, 0.398, 0.398], [0.602, 0.602, 0.602]], "sg": "R-3m, No. 166", "magmom_total_mub_per_atom": 0.444, "dft_energy_ev_per_atom": -7.34}

***

(18)
{"formula": "FePN2", "functional": "PBE-GGA", "state": "optimized geometry", "lattice": [[1.341, 0.774, 5.796], [-1.341, 0.774, 5.796], [0.000, -1.548, 5.796]], "species": ["Fe", "P", "N", "N"], "frac_coords": [[0.000, 0.000, 0.000], [0.500, 0.500, 0.500], [0.111, 0.111, 0.111], [0.889, 0.889, 0.889]], "sg": "R-3m, No. 166", "magmom_total_mub_per_atom": 0.566, "dft_energy_ev_per_atom": -7.60}

***

(19)
{"formula": "FePN2", "functional": "PBE-GGA", "state": "optimized geometry", "lattice": [[-2.144, 2.144, 3.986], [2.144, -2.144, 3.986], [2.144, 2.144, -3.986]], "species": ["Fe", "Fe", "P", "P", "N", "N", "N", "N"], "frac_coords": [[0.000, 0.000, 0.000], [0.750, 0.250, 0.500], [0.250, 0.750, 0.500], [0.500, 0.500, 0.000], [0.184, 0.625, 0.059], [0.375, 0.434, 0.559], [0.566, 0.125, 0.941], [0.875, 0.816, 0.441]], "sg": "I-42d, No. 122", "magmom_total_mub_per_atom": 0.000, "dft_energy_ev_per_atom": -7.52}

***

(20)
{"formula": "FePN3", "functional": "PBE-GGA", "state": "optimized geometry", "lattice": [[3.420, 0.000, 0.000], [0.000, 3.420, 0.000], [0.000, 0.000, 3.420]], "species": ["Fe", "P", "N", "N", "N"], "frac_coords": [[0.000, 0.000, 0.000], [0.500, 0.500, 0.500], [0.000, 0.500, 0.500], [0.500, 0.000, 0.500], [0.500, 0.500, 0.000]], "sg": "Pm-3m, No. 221", "magmom_total_mub_per_atom": 0.000, "dft_energy_ev_per_atom": -6.66}